DFT (PBE) results for a relaxed GdErScSn crystal.

Output
As for the space group: F-43m, No. 216. Its formation energy is -0.261 eV per atom. The value obtained for the total magnetization is 8.22 Bohr magnetons per cell.

Cell lengths 5.308, 5.308, 5.308 Å; angles 60.00, 60.00, 60.00 degrees
Fractional positions:
Gd 0.000 0.000 0.000
Er 0.500 0.500 0.500
Sc 0.250 0.250 0.250
Sn 0.750 0.750 0.750



DFT (PBE) results for a relaxed TcRh2Cl crystal.

Output
As for the uncorrected formation energy: 740 meV/atom. As for the space group: I4/mmm, No. 139. The energy above the most stable polymorph in this dataset comes out at 2.27 eV/f.u. The value obtained for the total magnetization is 0.00 Bohr magnetons per cell.

Cell lengths 4.664, 4.664, 4.664 Å; angles 128.92, 128.92, 75.14 degrees
Fractional positions:
Tc 0.000 0.000 0.000
Rh 0.250 0.750 0.500
Rh 0.750 0.250 0.500
Cl 0.500 0.500 0.000



DFT (PBE) results for a relaxed LiTe2AsN crystal.

Output
As for the uncorrected formation energy: 846 meV/atom. As for the space group: P4/mmm, No. 123. The energy above the most stable polymorph in this dataset comes out at 1.98 eV/f.u. The value obtained for the total magnetization is 0.00 Bohr magnetons per cell.

Cell lengths 5.152, 5.152, 3.585 Å; angles 90.00, 90.00, 90.00 degrees
Fractional positions:
Li 0.000 0.000 0.000
Te 0.000 0.500 0.000
Te 0.500 0.000 0.000
As 0.500 0.500 0.500
N 0.000 0.000 0.500



DFT (PBE) results for a relaxed K2SrMgF crystal.

Output
As for the uncorrected formation energy: -965 meV/atom. As for the space group: P4/mmm, No. 123. The energy above the most stable polymorph in this dataset comes out at 0.00 eV/f.u. The value obtained for the total magnetization is 0.00 Bohr magnetons per cell.

Cell lengths 5.856, 5.856, 5.133 Å; angles 90.00, 90.00, 90.00 degrees
Fractional positions:
K 0.000 0.500 0.000
K 0.500 0.000 0.000
Sr 0.000 0.000 0.500
Mg 0.500 0.500 0.500
F 0.000 0.000 0.000



DFT (PBE) results for a relaxed ThZrI crystal.

Output
As for the uncorrected formation energy: -135 meV/atom. As for the space group: Pca2_1, No. 29. The value obtained for the total magnetization is 0.00 Bohr magnetons per cell.

Cell lengths 6.084, 11.992, 5.724 Å; angles 90.00, 90.00, 90.00 degrees
Fractional positions:
Th 0.115 0.087 0.000
Th 0.385 0.087 0.500
Th 0.615 0.913 0.000
Th 0.885 0.913 0.500
Zr 0.135 0.815 0.977
Zr 0.365 0.815 0.477
Zr 0.635 0.185 0.977
Zr 0.865 0.185 0.477
I 0.009 0.648 0.337
I 0.491 0.648 0.837
I 0.509 0.352 0.337
I 0.991 0.352 0.837



DFT (PBE) results for a relaxed Li2HgPdF8 crystal.

Output
As for the uncorrected formation energy: -1879 meV/atom. As for the space group: P-1, No. 2. The value obtained for the total magnetization is 0.00 Bohr magnetons per cell.

Cell lengths 4.752, 4.759, 6.997 Å; angles 90.10, 90.11, 90.77 degrees
Fractional positions:
Li 0.000 0.000 0.249
Li 0.000 0.000 0.751
Hg 0.500 0.500 0.000
Pd 0.500 0.500 0.500
F 0.185 0.183 0.000
F 0.210 0.205 0.500
F 0.297 0.698 0.299
F 0.298 0.699 0.701
F 0.702 0.301 0.299
F 0.703 0.302 0.701
F 0.790 0.795 0.500
F 0.815 0.817 0.000



DFT (PBE) results for a relaxed Dy8Cu2Ru crystal.

Output
As for the space group: C2/m, No. 12. The energy above the most stable polymorph in this dataset comes out at 0.00 eV/f.u. Its formation energy is -0.174 eV per atom. The value obtained for the total magnetization is 0.00 Bohr magnetons per cell.

Cell lengths 8.956, 8.956, 6.696 Å; angles 106.53, 106.53, 33.08 degrees
Fractional positions:
Dy 0.032 0.032 0.294
Dy 0.198 0.198 0.820
Dy 0.333 0.333 0.523
Dy 0.409 0.409 0.059
Dy 0.591 0.591 0.941
Dy 0.667 0.667 0.477
Dy 0.802 0.802 0.180
Dy 0.968 0.968 0.706
Cu 0.184 0.184 0.218
Cu 0.816 0.816 0.782
Ru 0.500 0.500 0.500



DFT (PBE) results for a relaxed HoAgPO4 crystal.

Output
As for the uncorrected formation energy: -2095 meV/atom. As for the space group: Imma, No. 74. The value obtained for the total magnetization is 0.00 Bohr magnetons per cell.

Cell lengths 6.396, 6.396, 6.396 Å; angles 126.96, 111.13, 92.19 degrees
Fractional positions:
Ho 0.000 0.000 0.000
Ho 0.500 0.000 0.500
Ag 0.500 0.000 0.000
Ag 0.500 0.500 0.500
P 0.106 0.356 0.750
P 0.894 0.644 0.250
O 0.167 0.740 0.427
O 0.187 0.260 0.927
O 0.213 0.239 0.526
O 0.213 0.687 0.974
O 0.787 0.313 0.026
O 0.787 0.761 0.474
O 0.813 0.740 0.073
O 0.833 0.260 0.573